(1)
Material: AgSn2Bi2
Method: DFT, GGA-PBE
State: optimized geometry

Output
Volume = 163.44 Å³/cell
Total energy = -3.464 eV/atom
Space group = I4/mmm (139)
Excess energy over the best structure of this formula in the dataset = 0 meV/atom

abc: 4.775 4.775 7.923
angles: 107.54 107.54 90.00
Element x y z (fractional)
Ag  0.000  0.000  0.000
Bi  0.609  0.609  0.218
Bi  0.391  0.391  0.782
Sn  0.750  0.250  0.500
Sn  0.250  0.750  0.500



(2)
Material: Sm3P2O
Method: DFT, GGA-PBE
State: optimized geometry

Output
Volume = 126.70 Å³/cell
Total energy = -6.900 eV/atom
Space group = P-3m1 (164)
Magnetic moment = 0.00 Bohr magnetons per cell

abc: 3.922 3.922 9.512
angles: 90.00 90.00 120.00
Element x y z (fractional)
O  0.000  0.000  0.000
P  0.667  0.333  0.318
P  0.333  0.667  0.682
Sm  0.333  0.667  0.146
Sm  0.000  0.000  0.500
Sm  0.667  0.333  0.854